No. 1
Here is a relaxed SrRh3Cl crystal from Alexandria via LeMat-Bulk. Energies are from PBE.

a = 5.1883 Å, b = 5.1883 Å, c = 5.1883 Å
α = 90.00°, β = 90.00°, γ = 90.00°
Space group Pm-3m (No. 221)
One atom of each set of equivalent atoms:
1 Sr 0.0000 0.0000 0.0000
2 Rh 0.0000 0.0000 0.5000
3 Cl 0.5000 0.5000 0.5000

Calculated values
E above lowest polymorph   1.5519 eV/atom

No. 2
Here is a relaxed Sr8Rh2Cl crystal from Alexandria via LeMat-Bulk. Energies are from PBE.

a = 6.2396 Å, b = 8.7138 Å, c = 8.7246 Å
α = 81.76°, β = 87.51°, γ = 87.39°
Space group P-1 (No. 2)
One atom of each set of equivalent atoms:
1 Sr 0.2150 0.3384 0.3377
2 Sr 0.2443 0.8917 0.8918
3 Sr 0.2572 0.8703 0.3748
4 Sr 0.2576 0.3732 0.8715
5 Rh 0.2563 0.1212 0.1229
6 Cl 0.5000 0.5000 0.5000

No. 3
Here is a relaxed SrRh2Cl crystal from Alexandria via LeMat-Bulk. Energies are from PBE.

a = 4.0931 Å, b = 4.0931 Å, c = 20.9454 Å
α = 90.00°, β = 90.00°, γ = 120.00°
Space group R3m (No. 160, hexagonal axes)
One atom of each set of equivalent atoms:
1 Sr 0.0000 0.0000 0.0000
2 Rh 0.0000 0.0000 0.4619
3 Rh 0.0000 0.0000 0.7661
4 Cl 0.0000 0.0000 0.2527

Calculated values
E above lowest polymorph   0.0490 eV/atom

No. 4
Here is a relaxed SrRh2Cl crystal from Alexandria via LeMat-Bulk. Energies are from PBE.

a = 3.8212 Å, b = 5.5690 Å, c = 8.3228 Å
α = 90.00°, β = 90.00°, γ = 90.00°
Space group Imm2 (No. 44)
One atom of each set of equivalent atoms:
1 Sr 0.0000 0.0000 0.0000
2 Rh 0.0000 0.0000 0.5192
3 Rh 0.0000 0.5000 0.8308
4 Cl 0.0000 0.5000 0.2085

Calculated values
E above lowest polymorph   0.2791 eV/atom

No. 5
Here is a relaxed SrRhCl6 crystal from Alexandria via LeMat-Bulk. Energies are from PBE.

a = 6.4652 Å, b = 6.4652 Å, c = 17.6171 Å
α = 90.00°, β = 90.00°, γ = 120.00°
Space group R-3 (No. 148, hexagonal axes)
One atom of each set of equivalent atoms:
1 Sr 0.0000 0.0000 0.0000
2 Rh 0.0000 0.0000 0.5000
3 Cl 0.0151 0.6209 0.0909

No. 6
Here is a relaxed SrRh2Cl crystal from Alexandria via LeMat-Bulk. Energies are from PBE.

a = 5.1324 Å, b = 5.1324 Å, c = 14.9024 Å
α = 90.00°, β = 90.00°, γ = 90.00°
Space group I-42d (No. 122)
One atom of each set of equivalent atoms:
1 Sr 0.0000 0.0000 0.0000
2 Rh 0.0449 0.7500 0.6250
3 Cl 0.0000 0.0000 0.5000

Calculated values
E above lowest polymorph   0.2769 eV/atom

No. 7
Here is a relaxed SrRh2Cl crystal from Alexandria via LeMat-Bulk. Energies are from PBE.

a = 6.7659 Å, b = 6.7659 Å, c = 6.7659 Å
α = 90.00°, β = 90.00°, γ = 90.00°
Space group Fm-3m (No. 225)
One atom of each set of equivalent atoms:
1 Sr 0.0000 0.0000 0.0000
2 Rh 0.2500 0.2500 0.2500
3 Cl 0.0000 0.0000 0.5000

Calculated values
E above lowest polymorph   0.7994 eV/atom

No. 8
Here is a relaxed SrRh2Cl crystal from Alexandria via LeMat-Bulk. Energies are from PBE.

a = 4.3026 Å, b = 4.7531 Å, c = 7.4933 Å
α = 90.00°, β = 90.00°, γ = 90.00°
Space group Cmmm (No. 65)
One atom of each set of equivalent atoms:
1 Sr 0.0000 0.0000 0.0000
2 Rh 0.0000 0.5000 0.2973
3 Cl 0.0000 0.0000 0.5000

Calculated values
E above lowest polymorph   0.7791 eV/atom

Energy relative to the elements, uncorrected / meV per atom: 1773 -394 -363 -132 -1145 -135 388 368
Calculated total energy / eV per atom: -3.344 -3.122 -4.920 -4.690 -3.659 -4.693 -4.170 -4.190